[1]
{"formula": "MnCr3Cu", "functional": "GGA-PBE", "state": "relaxed", "dft_energy_ev_per_fu": -36.0, "vol_a3_per_cell": 72.28, "spacegroup": "Pm-3m", "m_tot_mub_per_fu": 0.0, "density_g_cm3": 6.31, "lattice": [[-3.824, 1.571, -0.513], [-1.059, -3.322, -2.279], [-1.269, -1.961, 3.449]], "species": ["Cr", "Cr", "Cr", "Mn", "Cu"], "frac_coords": [[0.000, 0.500, 0.000], [0.000, 0.000, 0.500], [0.500, 0.000, 0.000], [0.000, 0.000, 0.000], [0.500, 0.500, 0.500]]}


[2]
{"formula": "Mg2BiSb", "functional": "GGA-PBE", "state": "relaxed", "raw_formation_energy_mev_per_atom": -76.3, "vol_a3_per_cell": 102.66, "spacegroup": "Fm-3m", "relative_energy_mev_per_atom": 91, "m_tot_mub_per_fu": 0.0, "density_g_cm3": 6.14, "lattice": [[-5.110, -1.073, 0.597], [-3.604, 3.642, -1.170], [-3.069, -0.602, -4.224]], "species": ["Sb", "Mg", "Mg", "Bi"], "frac_coords": [[0.000, 0.000, 0.000], [0.250, 0.250, 0.250], [0.750, 0.750, 0.750], [0.500, 0.500, 0.500]]}


[3]
{"formula": "Na2AlGe2Pt5", "functional": "GGA-PBE", "state": "relaxed", "dft_energy_ev_per_fu": -51.3, "vol_a3_per_cell": 346.01, "spacegroup": "P4/mbm", "m_tot_mub_per_fu": 0.0, "density_g_cm3": 11.46, "lattice": [[-2.535, 0.127, -1.302], [-4.899, -3.576, 9.192], [-1.224, 10.405, 3.396]], "species": ["Na", "Na", "Na", "Na", "Al", "Al", "Ge", "Ge", "Ge", "Ge", "Pt", "Pt", "Pt", "Pt", "Pt", "Pt", "Pt", "Pt", "Pt", "Pt"], "frac_coords": [[0.000, 0.673, 0.173], [0.000, 0.327, 0.827], [0.000, 0.173, 0.327], [0.000, 0.827, 0.673], [0.000, 0.000, 0.000], [0.000, 0.500, 0.500], [0.000, 0.136, 0.636], [0.000, 0.864, 0.364], [0.000, 0.636, 0.864], [0.000, 0.364, 0.136], [0.500, 0.189, 0.062], [0.500, 0.811, 0.938], [0.500, 0.062, 0.811], [0.500, 0.689, 0.438], [0.500, 0.938, 0.189], [0.500, 0.311, 0.562], [0.500, 0.562, 0.689], [0.500, 0.438, 0.311], [0.500, 0.500, 0.000], [0.500, 0.000, 0.500]]}


[4]
{"formula": "CuMoAu2", "functional": "GGA-PBE", "state": "relaxed", "vol_a3_per_cell": 65.77, "spacegroup": "P4/mmm", "relative_energy_mev_per_atom": 157, "m_tot_mub_per_fu": 0.6, "density_g_cm3": 13.97, "lattice": [[4.888, 0.000, 0.000], [0.000, 4.888, 0.000], [0.000, 0.000, 2.753]], "species": ["Au", "Au", "Cu", "Mo"], "frac_coords": [[0.000, 0.000, 0.000], [0.500, 0.500, 0.000], [0.500, 0.000, 0.500], [0.000, 0.500, 0.500]]}